Ni2SnPtO6 | PBE with a Hubbard U | optimized geometry

## Properties
Space-group type = P4mm
Total DFT energy (no corrections) = -50.37 eV per cell
N(E_F) = 2.6 states/eV/cell

Unit cell a=5.7590 b=5.7590 c=4.0684 alpha=90.00 beta=90.00 gamma=90.00
Positions (direct):
Ni 0.0000 0.5000 0.0000
Ni 0.5000 0.0000 0.0000
Sn 0.0000 0.0000 0.7632
Pt 0.5000 0.5000 0.8154
O 0.0000 0.0000 0.2840
O 0.2522 0.2522 0.8765
O 0.2522 0.7478 0.8765
O 0.5000 0.5000 0.3217
O 0.7478 0.2522 0.8765
O 0.7478 0.7478 0.8765